1.
Computed, not measured: a relaxed structure of ReTcW4 at the PBE level of DFT.

a b c (Å): 5.183 5.183 5.183
angles (deg): 60.00 60.00 60.00
Atoms (fractional coordinates):
Re: 0.750 0.750 0.750
Tc: 0.000 0.000 0.000
W: 0.875 0.375 0.375
W: 0.375 0.375 0.875
W: 0.375 0.875 0.375
W: 0.375 0.375 0.375

Properties
- calculated volume (Å³ per cell) = 98.48
- density of states at the Fermi level (states/eV per atom) = 1.2285
- total moment (Bohr magnetons per cell) = 0.00
- distance to the lowest polymorph of the same formula (meV/atom) = 399
- calculated formation energy (meV/atom) = 465.4

---

2.
Computed, not measured: a relaxed structure of Re2TcW at the PBE level of DFT.

a b c (Å): 4.834 4.834 4.834
angles (deg): 132.06 132.06 70.13
Atoms (fractional coordinates):
Re: 0.000 0.000 0.000
Re: 0.500 0.500 0.000
Tc: 0.250 0.750 0.500
W: 0.750 0.250 0.500

Properties
- calculated volume (Å³ per cell) = 61.02
- density of states at the Fermi level (states/eV per atom) = 1.0597
- total moment (Bohr magnetons per cell) = 0.00
- distance to the lowest polymorph of the same formula (meV/atom) = 16
- calculated formation energy (meV/atom) = 128.9

---

3.
Computed, not measured: a relaxed structure of Re3TcW at the PBE level of DFT.

a b c (Å): 4.583 4.583 4.583
angles (deg): 90.00 90.00 90.00
Atoms (fractional coordinates):
Re: 0.000 0.500 0.000
Re: 0.000 0.000 0.500
Re: 0.500 0.000 0.000
Tc: 0.000 0.000 0.000
W: 0.500 0.500 0.500

Properties
- calculated volume (Å³ per cell) = 96.28
- density of states at the Fermi level (states/eV per atom) = 1.2461
- total moment (Bohr magnetons per cell) = 0.00
- distance to the lowest polymorph of the same formula (meV/atom) = 0
- calculated formation energy (meV/atom) = 2321.2

---

Density per entry: 17.2 17.8 14.5 g cm⁻³